Entry 1:
CaZn2GaIr2 (PBE, optimized geometry); VASP energy = -4.257 eV/atom; space group = No. 123
1.0
-0.852 -0.866 4.483
3.337 -3.231 0.010
3.743 3.870 1.459
Ca Zn Ga Ir
1 2 1 2
direct
0.000 0.000 0.500
0.500 0.500 0.746
0.500 0.500 0.254
0.000 0.000 0.000
0.500 0.000 0.000
0.000 0.500 0.000

Entry 2:
KTa2Te (PBE, optimized geometry); energy relative to the elements, uncorrected = 317 meV/atom; space group = No. 99
1.0
3.464 0.000 0.000
0.000 3.467 0.000
0.000 0.000 8.834
K Ta Te
1 2 1
direct
0.500 0.500 0.742
0.000 0.000 0.085
0.500 0.500 0.242
0.000 0.000 0.431

Entry 3:
La5TbPb4 (PBE, optimized geometry); VASP energy = -4.835 eV/atom; space group = No. 12
1.0
5.600 0.000 0.000
0.000 6.883 -2.779
-2.800 -3.541 10.686
La Tb Pb
5 1 4
direct
0.833 0.674 0.666
0.834 0.167 0.668
0.166 0.833 0.332
0.500 0.500 0.000
0.167 0.326 0.334
0.500 0.000 0.000
0.328 0.904 0.655
0.992 0.744 0.985
0.672 0.096 0.345
0.008 0.256 0.015

Entry 4:
NaErPaS4 (PBE, optimized geometry); energy relative to the elements, uncorrected = -1710 meV/atom; space group = No. 74
1.0
-0.271 0.767 -8.198
-5.183 -4.952 3.848
-0.798 7.966 0.772
Na Er Pa S
2 2 2 8
direct
0.882 0.764 0.132
0.118 0.236 0.868
0.500 0.000 0.500
0.500 0.000 0.000
0.500 0.500 0.500
0.000 0.500 0.500
0.738 0.475 0.713
0.291 0.029 0.264
0.738 0.029 0.264
0.738 0.475 0.262
0.262 0.525 0.738
0.709 0.971 0.736
0.262 0.971 0.736
0.262 0.525 0.287

no.,DOS(E_F) (states/eV/atom)
1,0.701
2,1.126
3,0.730
4,0.823